A geometry-optimized Nd4Y2HoMg structure. Source: the Alexandria database, functional GGA-PBE. Values from VASP.

Calculated values
Its crystal system is tetragonal. Its mass density is 6.04 g/cm³. Its formation energy is 0.0076 eV/atom. The calculation puts the magnetization at 0.0 μB per cell.

```
&SYSTEM
  ibrav = 0, nat = 8, ntyp = 4
/
ATOMIC_SPECIES
Nd 144.24 Nd.upf
Y 88.91 Y.upf
Ho 164.93 Ho.upf
Mg 24.30 Mg.upf
CELL_PARAMETERS angstrom
5.0780 0.0000 0.0000
0.0000 5.0780 0.0000
0.0000 0.0000 10.0712
ATOMIC_POSITIONS crystal
Nd 0.0000 0.5000 0.2465
Nd 0.0000 0.5000 0.7535
Nd 0.5000 0.0000 0.2465
Nd 0.5000 0.0000 0.7535
Y 0.0000 0.0000 0.0000
Y 0.5000 0.5000 0.5000
Ho 0.0000 0.0000 0.5000
Mg 0.5000 0.5000 0.0000
```